6
Lattice="0.0000 3.7522 3.7522 3.7522 0.0000 3.7522 3.7522 3.7522 0.0000" Properties=species:S:1:pos:R:3 comment="ZnRe4Pb PBE relaxed" total_energy_ha_per_atom=-0.3066 crystal_system=cubic pbc="T T T"
Zn 0.0000 0.0000 0.0000
Re 4.6943 2.8101 2.8101
Re 2.8101 4.6943 2.8101
Re 2.8101 2.8101 4.6943
Re 4.6943 4.6943 4.6943
Pb 1.8761 1.8761 1.8761

---

4
Lattice="0.0000 3.5230 3.5230 3.5230 0.0000 3.5230 3.5230 3.5230 0.0000" Properties=species:S:1:pos:R:3 comment="ZnRePb2 PBE relaxed" total_energy_ha_per_atom=-0.1556 crystal_system=cubic pbc="T T T"
Zn 0.0000 0.0000 0.0000
Re 1.7615 1.7615 1.7615
Pb 3.5230 3.5230 3.5230
Pb 5.2845 5.2845 5.2845

---

4
Lattice="3.9571 0.0000 0.0000 0.0000 3.9571 0.0000 0.0000 0.0000 4.3718" Properties=species:S:1:pos:R:3 comment="ZnRe2Pb PBE relaxed" e_above_lowest_polymorph_ev_per_fu=2.80 crystal_system=tetragonal pbc="T T T"
Zn 0.0000 0.0000 0.0000
Re 0.0000 1.9786 2.1859
Re 1.9786 0.0000 2.1859
Pb 1.9786 1.9786 0.0000

---

4
Lattice="-2.1186 2.1186 3.7704 2.1186 -2.1186 3.7704 2.1186 2.1186 -3.7704" Properties=species:S:1:pos:R:3 comment="ZnRe2Pb PBE relaxed" e_above_lowest_polymorph_ev_per_fu=2.19 crystal_system=tetragonal pbc="T T T"
Zn 0.0000 0.0000 0.0000
Re 0.0000 0.0000 3.7704
Re 0.0000 2.1186 1.8852
Pb 2.1186 0.0000 1.8852

---

4
Lattice="4.5920 -1.6474 0.0000 4.5920 1.6474 0.0000 -0.5790 0.0000 4.9322" Properties=species:S:1:pos:R:3 comment="ZnRe2Pb PBE relaxed" e_above_lowest_polymorph_ev_per_fu=1.50 crystal_system=monoclinic pbc="T T T"
Zn 0.0000 0.0000 0.0000
Re 1.9195 0.0000 4.0536
Re 6.6854 0.0000 0.8786
Pb 4.3024 0.0000 2.4661

---

4
Lattice="0.0000 3.2222 3.2222 3.2222 0.0000 3.2222 3.2222 3.2222 0.0000" Properties=species:S:1:pos:R:3 comment="ZnRe2Pb PBE relaxed" e_above_lowest_polymorph_ev_per_fu=2.97 crystal_system=cubic pbc="T T T"
Zn 0.0000 0.0000 0.0000
Re 1.6111 1.6111 1.6111
Re 4.8334 4.8334 4.8334
Pb 3.2222 3.2222 3.2222

---

| no. | total magnetization (μB per cell) |
| --- | --- |
| 1 | 0.0 |
| 2 | 0.4 |
| 3 | 0.6 |
| 4 | 0.0 |
| 5 | 0.0 |
| 6 | 0.0 |